The following is a DFT calculation (PBE-GGA) of a geometry-optimized KScSe2Br structure.

a b c (Å): 5.177 5.177 5.621
angles (deg): 90.00 90.00 90.00
Sites, in units of the cell vectors:
Sc (0.000, 0.000, 0.000)
K (0.500, 0.500, 0.500)
Br (0.000, 0.000, 0.500)
Se (0.000, 0.500, 0.000)
Se (0.500, 0.000, 0.000)

Values from the calculation:
Uncorrected formation energy (meV per atom): -1302
Energy above the most stable polymorph in this dataset (eV/atom): 0.000
DOS(E_F) (states/eV per cell): 4.87
Final energy (Ry per atom): -0.3320

The following is a DFT calculation (PBE-GGA) of a geometry-optimized Mg2CoCl structure.

a b c (Å): 3.071 3.207 7.303
angles (deg): 90.05 90.00 90.00
Sites, in units of the cell vectors:
Co (0.500, 0.750, 0.750)
Mg (0.000, 0.249, 0.541)
Mg (0.000, 0.251, 0.959)
Cl (0.500, 0.250, 0.250)

Values from the calculation:
Uncorrected formation energy (meV per atom): -368
Energy above the most stable polymorph in this dataset (eV/atom): 0.000
DOS(E_F) (states/eV per cell): 3.45
Final energy (Ry per atom): -0.2501

The following is a DFT calculation (PBE-GGA) of a geometry-optimized ZrP2Ru structure.

a b c (Å): 3.752 3.328 5.132
angles (deg): 90.00 90.00 90.00
Sites, in units of the cell vectors:
Ru (0.500, 0.250, 0.250)
P (0.000, 0.250, 0.978)
P (0.000, 0.250, 0.522)
Zr (0.500, 0.750, 0.750)

Values from the calculation:
Energy above the most stable polymorph in this dataset (eV/atom): 0.149
DOS(E_F) (states/eV per cell): 2.28
Final energy (Ry per atom): -0.5758
Energy of formation from the pure elements (eV per atom): -0.67

The following is a DFT calculation (PBE-GGA) of a geometry-optimized MgTaHg2B structure.

a b c (Å): 4.574 4.459 4.574
angles (deg): 90.00 90.00 90.00
Sites, in units of the cell vectors:
Hg (0.500, 0.000, 0.000)
Hg (0.000, 0.000, 0.500)
B (0.000, 0.000, 0.000)
Mg (0.000, 0.500, 0.000)
Ta (0.500, 0.500, 0.500)

Values from the calculation:
DOS(E_F) (states/eV per cell): 3.46
Final energy (Ry per atom): -0.2250
Energy of formation from the pure elements (eV per atom): 1.08

The following is a DFT calculation (PBE-GGA) of a geometry-optimized Ti3AlH3 structure.

a b c (Å): 5.292 5.292 5.292
angles (deg): 90.00 90.00 90.00
Sites, in units of the cell vectors:
H (0.250, 0.000, 0.500)
H (0.000, 0.500, 0.250)
H (0.000, 0.500, 0.750)
H (0.500, 0.250, 0.000)
H (0.500, 0.750, 0.000)
H (0.750, 0.000, 0.500)
Ti (0.250, 0.500, 0.000)
Ti (0.500, 0.000, 0.750)
Ti (0.500, 0.000, 0.250)
Ti (0.000, 0.250, 0.500)
Ti (0.000, 0.750, 0.500)
Ti (0.750, 0.500, 0.000)
Al (0.500, 0.500, 0.500)
Al (0.000, 0.000, 0.000)

Values from the calculation:
Energy above the most stable polymorph in this dataset (eV/atom): 0.000
DOS(E_F) (states/eV per cell): 12.89
Final energy (Ry per atom): -0.4244

The following is a DFT calculation (PBE-GGA) of a geometry-optimized NdTmCoAu structure.

a b c (Å): 4.992 4.992 4.992
angles (deg): 60.00 60.00 60.00
Sites, in units of the cell vectors:
Tm (0.750, 0.750, 0.750)
Au (0.000, 0.000, 0.000)
Co (0.500, 0.500, 0.500)
Nd (0.250, 0.250, 0.250)

Values from the calculation:
DOS(E_F) (states/eV per cell): 3.25
Final energy (Ry per atom): -0.3883
Energy of formation from the pure elements (eV per atom): -0.38

The following is a DFT calculation (PBE-GGA) of a geometry-optimized Zr2TlRh structure.

a b c (Å): 7.682 7.682 6.217
angles (deg): 51.84 51.84 90.00
Sites, in units of the cell vectors:
Zr (0.578, 0.125, 0.250)
Zr (0.375, 0.422, 0.750)
Zr (0.875, 0.828, 0.750)
Zr (0.172, 0.625, 0.250)
Rh (0.250, 0.750, 0.500)
Rh (0.500, 0.500, 0.000)
Tl (0.750, 0.250, 0.500)
Tl (0.000, 0.000, 0.000)

Values from the calculation:
DOS(E_F) (states/eV per cell): 3.96
Final energy (Ry per atom): -0.4970
Energy of formation from the pure elements (eV per atom): -0.06

The following is a DFT calculation (PBE-GGA) of a geometry-optimized Ti2Be2As structure.

a b c (Å): 3.137 3.137 7.657
angles (deg): 78.18 78.18 90.00
Sites, in units of the cell vectors:
Be (0.750, 0.250, 0.500)
Be (0.250, 0.750, 0.500)
As (0.000, 0.000, 0.000)
Ti (0.399, 0.399, 0.202)
Ti (0.601, 0.601, 0.798)

Values from the calculation:
Energy above the most stable polymorph in this dataset (eV/atom): 0.373
DOS(E_F) (states/eV per cell): 4.43
Final energy (Ry per atom): -0.4083
Energy of formation from the pure elements (eV per atom): 0.02